DFT (PBE with a Hubbard U) results for a geometry-optimized RbScNiF6 structure.

Summary:
The calculation puts the density at 3.34 g/cm3. For the total energy, the calculation gives -5.478 eV/atom. The total magnetization comes out at 3.97 Bohr magnetons per cell. Its space group is Imma.

a b c (Å): 7.5265 7.5265 7.5265
angles (deg): 121.17 118.78 90.06
Last column: nearest neighbours and their distance in Å.
Fractional positions:
Rb  0.3401  0.0901  0.2500  1 F 2.89
Rb  0.6599  0.9099  0.7500  1 F 2.89
Sc  0.0000  0.5000  0.5000  6 F 2.01-2.06
Sc  0.5000  0.5000  0.0000  6 F 2.01-2.06
Ni  0.0000  0.0000  0.5000  6 F 1.99-2.04
Ni  0.0000  0.5000  0.0000  6 F 1.99-2.04
F  0.0639  0.4224  0.2427  1 Sc 2.01, 1 Ni 2.04
F  0.0639  0.8213  0.6415  1 Sc 2.01, 1 Ni 2.04
F  0.0684  0.8184  0.2500  2 Ni 1.99
F  0.3202  0.1787  0.7427  1 Sc 2.01, 1 Ni 2.04
F  0.3202  0.5776  0.1415  1 Sc 2.01, 1 Ni 2.04
F  0.3210  0.5710  0.7500  2 Sc 2.06
F  0.6790  0.4290  0.2500  2 Sc 2.06
F  0.6798  0.4224  0.8585  1 Sc 2.01, 1 Ni 2.04
F  0.6798  0.8213  0.2573  1 Sc 2.01, 1 Ni 2.04
F  0.9316  0.1816  0.7500  2 Ni 1.99
F  0.9361  0.1787  0.3585  1 Sc 2.01, 1 Ni 2.04
F  0.9361  0.5776  0.7573  1 Sc 2.01, 1 Ni 2.04